No. 1
## K2UPb2O6 (GGA-PBE)

Data for an optimized crystal structure of K2UPb2O6.

Output
As for the space-group type: No. 12. The calculation puts the raw formation energy at -2032 meV per atom.

Lattice parameters (Å, degrees): 6.2253 6.2253 6.6796 99.79 99.79 115.26
With the nearest neighbours (Å) after each atom.
Atoms (fractional coordinates):
K 0.1813 0.8187 0.0000  6 O 2.73-2.98
K 0.8187 0.1813 0.0000  6 O 2.73-2.98
U 0.0000 0.0000 0.5000  6 O 1.99-2.20
Pb 0.3316 0.6684 0.5000  4 O 2.37-2.65
Pb 0.6684 0.3316 0.5000  4 O 2.37-2.65
O 0.0427 0.3529 0.6787  1 U 2.20, 1 Pb 2.37
O 0.1652 0.1652 0.2996  1 U 1.99
O 0.3529 0.0427 0.6787  1 U 2.20, 1 Pb 2.37
O 0.6471 0.9573 0.3213  1 U 2.20, 1 Pb 2.37
O 0.8348 0.8348 0.7004  1 U 1.99
O 0.9573 0.6471 0.3213  1 U 2.20, 1 Pb 2.37

No. 2
## Bi2Pb5 (GGA-PBE)

Data for an optimized crystal structure of Bi2Pb5.

Output
The calculation puts the excess energy over the best structure of this formula in the dataset at 0.012 eV/atom. As for the space-group type: No. 12. The calculation puts the calculated formation energy at 27 meV per atom.

Lattice parameters (Å, degrees): 10.8848 5.1972 8.0059 90.00 100.18 90.00
With the nearest neighbours (Å) after each atom.
Atoms (fractional coordinates):
Bi 0.2118 0.0000 0.1526  10 Pb 3.46-3.57, 2 Bi 3.76
Bi 0.2882 0.5000 0.8474  10 Pb 3.46-3.57, 2 Bi 3.76
Bi 0.7118 0.5000 0.1526  10 Pb 3.46-3.57, 2 Bi 3.76
Bi 0.7882 0.0000 0.8474  10 Pb 3.46-3.57, 2 Bi 3.76
Pb 0.0000 0.5000 0.0000  6 Pb 3.50-3.62, 6 Bi 3.54-3.56
Pb 0.0761 0.0000 0.7210  4 Bi 3.46-3.51, 8 Pb 3.48-3.66
Pb 0.1419 0.5000 0.4273  3 Bi 3.46-3.57, 9 Pb 3.48-3.66
Pb 0.3581 0.0000 0.5727  3 Bi 3.46-3.57, 9 Pb 3.48-3.66
Pb 0.4239 0.5000 0.2790  4 Bi 3.46-3.51, 8 Pb 3.48-3.66
Pb 0.5000 0.0000 0.0000  6 Pb 3.50-3.62, 6 Bi 3.54-3.56
Pb 0.5761 0.5000 0.7210  4 Bi 3.46-3.51, 8 Pb 3.48-3.66
Pb 0.6419 0.0000 0.4273  3 Bi 3.46-3.57, 9 Pb 3.48-3.66
Pb 0.8581 0.5000 0.5727  3 Bi 3.46-3.57, 9 Pb 3.48-3.66
Pb 0.9239 0.0000 0.2790  4 Bi 3.46-3.51, 8 Pb 3.48-3.66